Entry 1:
# PBE Ta5Ni7, relaxed
# Relative energy among the computed polymorphs = 0 meV per atom
# Formation enthalpy at 0 K = 0.1450 eV/atom
# DFT total energy = -8.041 eV/atom
data_Ta5Ni7
_symmetry_space_group_name_H-M 'P 63/m m c'
_symmetry_Int_Tables_number 194
_symmetry_space_group_name_Hall '-P 6c 2c'
_cell_length_a 4.9927
_cell_length_b 4.9927
_cell_length_c 15.9310
_cell_angle_alpha 90.00
_cell_angle_beta 90.00
_cell_angle_gamma 120.00
loop_
_atom_site_label
_atom_site_type_symbol
_atom_site_fract_x
_atom_site_fract_y
_atom_site_fract_z
Ta1 Ta 0.0000 0.5000 0.0000
Ta2 Ta 0.3333 0.6667 0.1649
Ni1 Ni 0.0000 0.0000 0.0946
Ni2 Ni 0.1607 0.3215 0.7500
Ni3 Ni 0.3333 0.6667 0.6337

=====

Entry 2:
# PBE Ta7Ni5, relaxed
# Relative energy among the computed polymorphs = 298 meV per atom
# Formation enthalpy at 0 K = 0.2820 eV/atom
# DFT total energy = -8.952 eV/atom
data_Ta7Ni5
_symmetry_space_group_name_H-M 'P 63/m m c'
_symmetry_Int_Tables_number 194
_symmetry_space_group_name_Hall '-P 6c 2c'
_cell_length_a 5.1943
_cell_length_b 5.1943
_cell_length_c 16.7703
_cell_angle_alpha 90.00
_cell_angle_beta 90.00
_cell_angle_gamma 120.00
loop_
_atom_site_label
_atom_site_type_symbol
_atom_site_fract_x
_atom_site_fract_y
_atom_site_fract_z
Ta1 Ta 0.1664 0.3328 0.2500
Ta2 Ta 0.3333 0.6667 0.1112
Ta3 Ta 0.3333 0.6667 0.6464
Ni1 Ni 0.0000 0.0000 0.1101
Ni2 Ni 0.0000 0.5000 0.0000

=====

Entry 3:
# PBE Ta10Ni3, relaxed
# Relative energy among the computed polymorphs = 0 meV per atom
# Formation enthalpy at 0 K = 0.2045 eV/atom
# DFT total energy = -10.198 eV/atom
data_Ta10Ni3
_symmetry_space_group_name_H-M 'R -3 m'
_symmetry_Int_Tables_number 166
_symmetry_space_group_name_Hall '-R 3 2"'
_cell_length_a 5.3189
_cell_length_b 5.3189
_cell_length_c 27.5028
_cell_angle_alpha 90.00
_cell_angle_beta 90.00
_cell_angle_gamma 120.00
loop_
_atom_site_label
_atom_site_type_symbol
_atom_site_fract_x
_atom_site_fract_y
_atom_site_fract_z
Ta1 Ta 0.0000 0.0000 0.0463
Ta2 Ta 0.0000 0.0000 0.3326
Ta3 Ta 0.0034 0.5017 0.9042
Ni1 Ni 0.0000 0.0000 0.1464
Ni2 Ni 0.0000 0.0000 0.5000

=====

Entry 4:
# PBE Ta11Ni2, relaxed
# Relative energy among the computed polymorphs = 0 meV per atom
# Formation enthalpy at 0 K = 0.2533 eV/atom
# DFT total energy = -10.632 eV/atom
data_Ta11Ni2
_symmetry_space_group_name_H-M 'R -3 m'
_symmetry_Int_Tables_number 166
_symmetry_space_group_name_Hall '-R 3 2"'
_cell_length_a 5.3589
_cell_length_b 5.3589
_cell_length_c 28.2287
_cell_angle_alpha 90.00
_cell_angle_beta 90.00
_cell_angle_gamma 120.00
loop_
_atom_site_label
_atom_site_type_symbol
_atom_site_fract_x
_atom_site_fract_y
_atom_site_fract_z
Ta1 Ta 0.0000 0.0000 0.0000
Ta2 Ta 0.0000 0.0000 0.1670
Ta3 Ta 0.0000 0.0000 0.3510
Ta4 Ta 0.0028 0.5014 0.4133
Ni1 Ni 0.0000 0.0000 0.4526

=====

Entry 5:
# PBE TaNi2, relaxed
# Formation enthalpy at 0 K = 1.0796 eV/atom
# DFT total energy = -6.583 eV/atom
data_TaNi2
_symmetry_space_group_name_H-M 'P 42/m n m'
_symmetry_Int_Tables_number 136
_symmetry_space_group_name_Hall '-P 4n 2n'
_cell_length_a 5.062
_cell_length_b 5.062
_cell_length_c 4.058
_cell_angle_alpha 90.00
_cell_angle_beta 90.00
_cell_angle_gamma 90.00
loop_
_atom_site_label
_atom_site_type_symbol
_atom_site_fract_x
_atom_site_fract_y
_atom_site_fract_z
Ta1 Ta 0.000 0.000 0.000
Ni1 Ni 0.175 0.175 0.500

=====

Entry 6:
# PBE Ta5Ni7, relaxed
# Relative energy among the computed polymorphs = 5 meV per atom
# Formation enthalpy at 0 K = 0.1497 eV/atom
# DFT total energy = -8.037 eV/atom
data_Ta5Ni7
_symmetry_space_group_name_H-M 'P 63/m m c'
_symmetry_Int_Tables_number 194
_symmetry_space_group_name_Hall '-P 6c 2c'
_cell_length_a 4.9840
_cell_length_b 4.9840
_cell_length_c 15.9956
_cell_angle_alpha 90.00
_cell_angle_beta 90.00
_cell_angle_gamma 120.00
loop_
_atom_site_label
_atom_site_type_symbol
_atom_site_fract_x
_atom_site_fract_y
_atom_site_fract_z
Ta1 Ta 0.0000 0.0000 0.0846
Ta2 Ta 0.1653 0.3305 0.2500
Ni1 Ni 0.0000 0.5000 0.0000
Ni2 Ni 0.3333 0.6667 0.1182
Ni3 Ni 0.3333 0.6667 0.6514

=====

Entry 7:
# PBE Ta3Ni10, relaxed
# Relative energy among the computed polymorphs = 99 meV per atom
# Formation enthalpy at 0 K = -0.0336 eV/atom
# DFT total energy = -7.052 eV/atom
data_Ta3Ni10
_symmetry_space_group_name_H-M 'R -3 m'
_symmetry_Int_Tables_number 166
_symmetry_space_group_name_Hall '-R 3 2"'
_cell_length_a 4.7197
_cell_length_b 4.7197
_cell_length_c 25.5602
_cell_angle_alpha 90.00
_cell_angle_beta 90.00
_cell_angle_gamma 120.00
loop_
_atom_site_label
_atom_site_type_symbol
_atom_site_fract_x
_atom_site_fract_y
_atom_site_fract_z
Ta1 Ta 0.0000 0.0000 0.0000
Ta2 Ta 0.0000 0.0000 0.1633
Ni1 Ni 0.0000 0.0000 0.3502
Ni2 Ni 0.0000 0.0000 0.4524
Ni3 Ni 0.0096 0.5048 0.4114

=====

Entry 8:
# PBE Ta3Ni10, relaxed
# Relative energy among the computed polymorphs = 130 meV per atom
# Formation enthalpy at 0 K = -0.0028 eV/atom
# DFT total energy = -7.021 eV/atom
data_Ta3Ni10
_symmetry_space_group_name_H-M 'R -3 m'
_symmetry_Int_Tables_number 166
_symmetry_space_group_name_Hall '-R 3 2"'
_cell_length_a 4.7606
_cell_length_b 4.7606
_cell_length_c 25.3543
_cell_angle_alpha 90.00
_cell_angle_beta 90.00
_cell_angle_gamma 120.00
loop_
_atom_site_label
_atom_site_type_symbol
_atom_site_fract_x
_atom_site_fract_y
_atom_site_fract_z
Ta1 Ta 0.0000 0.0000 0.0000
Ta2 Ta 0.0000 0.0000 0.3597
Ni1 Ni 0.0000 0.0000 0.1650
Ni2 Ni 0.0000 0.0000 0.4551
Ni3 Ni 0.0044 0.5022 0.4160

=====

Entry 9:
# PBE Ta2Ni3, relaxed
# Relative energy among the computed polymorphs = 0 meV per atom
# Formation enthalpy at 0 K = -0.1481 eV/atom
# DFT total energy = -8.230 eV/atom
data_Ta2Ni3
_symmetry_space_group_name_H-M 'P 42/m n m'
_symmetry_Int_Tables_number 136
_symmetry_space_group_name_Hall '-P 4n 2n'
_cell_length_a 9.233
_cell_length_b 9.233
_cell_length_c 4.860
_cell_angle_alpha 90.00
_cell_angle_beta 90.00
_cell_angle_gamma 90.00
loop_
_atom_site_label
_atom_site_type_symbol
_atom_site_fract_x
_atom_site_fract_y
_atom_site_fract_z
Ta1 Ta 0.059 0.274 0.000
Ta2 Ta 0.105 0.105 0.500
Ni1 Ni 0.000 0.000 0.000
Ni2 Ni 0.032 0.368 0.500
Ni3 Ni 0.175 0.825 0.254

=====

Entry 10:
# PBE Ta2Ni3, relaxed
# Relative energy among the computed polymorphs = 107 meV per atom
# Formation enthalpy at 0 K = -0.0415 eV/atom
# DFT total energy = -8.123 eV/atom
data_Ta2Ni3
_symmetry_space_group_name_H-M 'P 42/m n m'
_symmetry_Int_Tables_number 136
_symmetry_space_group_name_Hall '-P 4n 2n'
_cell_length_a 9.225
_cell_length_b 9.225
_cell_length_c 4.817
_cell_angle_alpha 90.00
_cell_angle_beta 90.00
_cell_angle_gamma 90.00
loop_
_atom_site_label
_atom_site_type_symbol
_atom_site_fract_x
_atom_site_fract_y
_atom_site_fract_z
Ta1 Ta 0.040 0.370 0.000
Ta2 Ta 0.098 0.098 0.000
Ni1 Ni 0.000 0.000 0.500
Ni2 Ni 0.068 0.257 0.500
Ni3 Ni 0.177 0.823 0.250

=====

Entry 11:
# PBE Ta24Ni5, relaxed
# Formation enthalpy at 0 K = 0.3751 eV/atom
# DFT total energy = -10.394 eV/atom
data_Ta24Ni5
_symmetry_space_group_name_H-M 'I -4 3 m'
_symmetry_Int_Tables_number 217
_symmetry_space_group_name_Hall 'I -4 2 3'
_cell_length_a 10.148
_cell_length_b 10.148
_cell_length_c 10.148
_cell_angle_alpha 90.00
_cell_angle_beta 90.00
_cell_angle_gamma 90.00
loop_
_atom_site_label
_atom_site_type_symbol
_atom_site_fract_x
_atom_site_fract_y
_atom_site_fract_z
Ta1 Ta 0.050 0.362 0.638
Ta2 Ta 0.093 0.093 0.721
Ni1 Ni 0.000 0.000 0.000
Ni2 Ni 0.196 0.196 0.196

=====

Entry 12:
# PBE Ta7Ni5, relaxed
# Relative energy among the computed polymorphs = 361 meV per atom
# Formation enthalpy at 0 K = 0.3453 eV/atom
# DFT total energy = -8.889 eV/atom
data_Ta7Ni5
_symmetry_space_group_name_H-M 'P 63/m m c'
_symmetry_Int_Tables_number 194
_symmetry_space_group_name_Hall '-P 6c 2c'
_cell_length_a 5.1329
_cell_length_b 5.1329
_cell_length_c 16.8601
_cell_angle_alpha 90.00
_cell_angle_beta 90.00
_cell_angle_gamma 120.00
loop_
_atom_site_label
_atom_site_type_symbol
_atom_site_fract_x
_atom_site_fract_y
_atom_site_fract_z
Ta1 Ta 0.0000 0.0000 0.0905
Ta2 Ta 0.1646 0.3293 0.2500
Ta3 Ta 0.3333 0.6667 0.1127
Ni1 Ni 0.0000 0.5000 0.0000
Ni2 Ni 0.3333 0.6667 0.6544

=====

Entry 13:
# PBE Ta5Ni7, relaxed
# Relative energy among the computed polymorphs = 46 meV per atom
# Formation enthalpy at 0 K = 0.1915 eV/atom
# DFT total energy = -7.995 eV/atom
data_Ta5Ni7
_symmetry_space_group_name_H-M 'P 63/m m c'
_symmetry_Int_Tables_number 194
_symmetry_space_group_name_Hall '-P 6c 2c'
_cell_length_a 5.0359
_cell_length_b 5.0359
_cell_length_c 15.8454
_cell_angle_alpha 90.00
_cell_angle_beta 90.00
_cell_angle_gamma 120.00
loop_
_atom_site_label
_atom_site_type_symbol
_atom_site_fract_x
_atom_site_fract_y
_atom_site_fract_z
Ta1 Ta 0.1650 0.3300 0.2500
Ta2 Ta 0.3333 0.6667 0.6372
Ni1 Ni 0.0000 0.0000 0.0927
Ni2 Ni 0.0000 0.5000 0.0000
Ni3 Ni 0.3333 0.6667 0.1165

=====

Entry 14:
# PBE TaNi2, relaxed
# Formation enthalpy at 0 K = -0.0002 eV/atom
# DFT total energy = -7.663 eV/atom
data_TaNi2
_symmetry_space_group_name_H-M 'P 42/m n m'
_symmetry_Int_Tables_number 136
_symmetry_space_group_name_Hall '-P 4n 2n'
_cell_length_a 9.308
_cell_length_b 9.308
_cell_length_c 4.707
_cell_angle_alpha 90.00
_cell_angle_beta 90.00
_cell_angle_gamma 90.00
loop_
_atom_site_label
_atom_site_type_symbol
_atom_site_fract_x
_atom_site_fract_y
_atom_site_fract_z
Ta1 Ta 0.000 0.000 0.000
Ta2 Ta 0.060 0.276 0.000
Ni1 Ni 0.034 0.369 0.500
Ni2 Ni 0.109 0.109 0.500
Ni3 Ni 0.183 0.817 0.254